Y2FeRu | GGA-PBEsol | optimized geometry

```
4
Lattice="3.1924 0.0000 0.0000 0.0000 3.1924 0.0000 0.0000 0.0000 8.0429" Properties=species:S:1:pos:R:3 pbc="T T T"
Y 0.0000 0.0000 0.0000
Y 1.5962 1.5962 3.1250
Fe 0.0000 0.0000 5.0231
Ru 1.5962 1.5962 6.2219
```

Values from the calculation:
Energy (eV per atom): -8.08
Density of states at the Fermi level (states/eV/cell): 4.24
E_form (eV/f.u.): 0.4
SG: P4mm (99)
Theoretical density (Mg/m³): 6.8